# Pm3Dy7Tl2, optimized geometry, DFT PBE-GGA
# Formation energy from the elements in eV per formula unit: -0.3
# N(E_F) in states/eV/cell: 13.89
# E in Ry per atom: -0.316
data_Pm3Dy7Tl2
_chemical_formula_sum 'Pm3 Dy7 Tl2'
_cell_length_a 5.689
_cell_length_b 3.628
_cell_length_c 18.469
_cell_angle_alpha 90.00
_cell_angle_beta 93.33
_cell_angle_gamma 90.00
_symmetry_space_group_name_H-M 'P 1 2/m 1'
_symmetry_Int_Tables_number 10
_symmetry_space_group_name_Hall '-P 2y'
loop_
_atom_site_label
_atom_site_fract_x
_atom_site_fract_y
_atom_site_fract_z
_atom_site_occupancy
Pm1 0.000 0.000 0.000 1
Pm2 0.275 0.500 0.635 1
Dy1 0.173 0.500 0.150 1
Dy2 0.242 0.000 0.459 1
Dy3 0.325 0.000 0.831 1
Dy4 0.500 0.500 0.000 1
Tl1 0.210 0.000 0.292 1